(1)
Material: TlAu3F
Method: DFT, GGA-PBE
State: relaxed

Results
- E: -2.611 eV/atom

Cell lengths 4.739, 4.739, 4.739 Å; angles 90.00, 90.00, 90.00 degrees
Space group Pm-3m (No. 221)
Symmetry-distinct sites (fractional):
Tl1 0.000 0.000 0.000 x1
Au1 0.000 0.500 0.500 x3
F1 0.500 0.500 0.500 x1

---

(2)
Material: Tl2AuF
Method: DFT, GGA-PBE
State: relaxed

Results
- E: -3.222 eV/atom

Cell lengths 4.1929, 4.1929, 20.2926 Å; angles 90.00, 90.00, 120.00 degrees
Space group R-3m (No. 166, hexagonal axes)
Symmetry-distinct sites (fractional):
Tl1 0.0000 0.0000 0.2395 x6
Au1 0.0000 0.0000 0.0000 x3
F1 0.0000 0.0000 0.5000 x3

---

(3)
Material: Tl12Au3F5
Method: DFT, GGA-PBE
State: relaxed

Results
- E: -3.117 eV/atom

Cell lengths 16.609, 16.609, 16.609 Å; angles 90.00, 90.00, 90.00 degrees
Space group Ia-3d (No. 230)
Symmetry-distinct sites (fractional):
Tl1 0.026 0.065 0.651 x96
Au1 0.000 0.250 0.125 x24
F1 0.000 0.000 0.000 x16
F2 0.000 0.250 0.375 x24

---

(4)
Material: Tl2AuF
Method: DFT, GGA-PBE
State: relaxed

Results
- E: -3.193 eV/atom

Cell lengths 7.121, 7.121, 7.121 Å; angles 90.00, 90.00, 90.00 degrees
Space group Fm-3m (No. 225)
Symmetry-distinct sites (fractional):
Tl1 0.250 0.250 0.250 x8
Au1 0.000 0.000 0.000 x4
F1 0.000 0.000 0.500 x4

---

(5)
Material: TlAuF
Method: DFT, GGA-PBE
State: relaxed

Results
- E: -3.139 eV/atom

Cell lengths 3.165, 3.105, 7.000 Å; angles 90.00, 102.87, 90.00 degrees
Space group Pm (No. 6)
Symmetry-distinct sites (fractional):
Tl1 0.000 0.000 0.000 x1
Au1 0.802 0.500 0.593 x1
F1 0.593 0.500 0.189 x1

---

(6)
Material: TlAuF5
Method: DFT, GGA-PBE
State: relaxed

Results
- E: -3.505 eV/atom

Cell lengths 8.297, 8.303, 7.162 Å; angles 90.00, 104.51, 90.00 degrees
Space group C2/c (No. 15)
Symmetry-distinct sites (fractional):
Tl1 0.000 0.054 0.250 x4
Au1 0.000 0.500 0.000 x4
F1 0.000 0.356 0.250 x4
F2 0.035 0.149 0.966 x8
F3 0.223 0.410 0.661 x8

---

(7)
Material: TlAuF2
Method: DFT, GGA-PBE
State: relaxed

Results
- E: -3.070 eV/atom

Cell lengths 3.2527, 3.2527, 24.6121 Å; angles 90.00, 90.00, 120.00 degrees
Space group R-3m (No. 166, hexagonal axes)
Symmetry-distinct sites (fractional):
Tl1 0.0000 0.0000 0.0000 x3
Au1 0.0000 0.0000 0.5000 x3
F1 0.0000 0.0000 0.0968 x6

---

(8)
Material: Tl2AuF
Method: DFT, GGA-PBE
State: relaxed

Results
- E: -3.192 eV/atom

Cell lengths 6.474, 6.474, 12.560 Å; angles 90.00, 90.00, 90.00 degrees
Space group I-42d (No. 122)
Symmetry-distinct sites (fractional):
Tl1 0.210 0.250 0.125 x8
Au1 0.000 0.000 0.500 x4
F1 0.000 0.000 0.000 x4

---

no.,spin magnetization (μB/cell),E_form (uncorrected) (eV/f.u.)
1,0.0,1.01
2,0.0,-3.01
3,0.0,-14.76
4,0.0,-2.89
5,0.0,-1.90
6,0.0,-9.53
7,0.0,-2.89
8,0.0,-2.89